No. 1
Be2MoPdSe after structural relaxation, computed with PBE.

- total DFT energy (no corrections) (eV per atom) = -4.074
- crystal system = tetragonal

Cell: 4.367 4.809 4.367 Å, 90.00 90.00 90.00°
Fractional positions:
Mo  0.000  0.000  0.000
Be  0.500  0.000  0.000
Pd  0.000  0.500  0.000
Be  0.000  0.000  0.500
Se  0.500  0.500  0.500

=====

No. 2
Th2Ga4CuIr3 after structural relaxation, computed with PBE.

- total DFT energy (no corrections) (eV per atom) = -6.409
- crystal system = tetragonal
- ΔE_f (meV per atom) = -647

Cell: 4.190 4.190 10.709 Å, 90.00 90.00 90.00°
Fractional positions:
Ga  0.000  0.500  0.374
Ir  0.000  0.000  0.500
Th  0.000  0.500  0.757
Th  0.500  0.000  0.243
Ga  0.000  0.000  0.000
Cu  0.500  0.500  0.500
Ga  0.500  0.000  0.626
Ir  0.000  0.500  0.141
Ir  0.500  0.000  0.859
Ga  0.500  0.500  0.000